1.
Entry from Alexandria: a geometry-optimized MnH8N4Cl2 structure (PBE).

a b c (Å): 9.0831 8.3094 4.3155
angles (deg): 90.00 102.75 90.00
Last column: nearest neighbours and their distance in Å.
Space group C2/m (No. 12)
One atom of each set of equivalent atoms:
Mn1 0.0000 0.0000 0.0000 [2 per cell]  4 N 2.30, 2 Cl 2.56
H1 0.0574 0.3041 0.2981 [8 per cell]  1 N 1.03
H2 0.1556 0.1632 0.5300 [8 per cell]  1 N 1.03
N1 0.0511 0.1914 0.3929 [8 per cell]  2 H 1.03
Cl1 0.2211 0.5000 0.0219 [4 per cell]  4 H 2.42-2.66, 1 Mn 2.56

Results
Calculated volume, Å³ per cell: 317.7
Electronic total energy, eV per atom: -5.2440

=====

2.
Entry from Alexandria: a geometry-optimized Sm2Al4ZnRh3 structure (PBE).

a b c (Å): 4.1308 4.1308 10.8709
angles (deg): 90.00 90.00 90.00
Last column: nearest neighbours and their distance in Å.
Space group P-4m2 (No. 115)
One atom of each set of equivalent atoms:
Sm1 0.0000 0.5000 0.2464 [2 per cell]  6 Rh 3.17-3.44, 8 Al 3.20-3.38, 2 Zn 3.44
Al1 0.0000 0.0000 0.0000 [1 per cell]  4 Rh 2.52
Al2 0.0000 0.5000 0.6345 [2 per cell]  3 Rh 2.53, 2 Zn 2.53
Al3 0.5000 0.5000 0.0000 [1 per cell]  4 Rh 2.52
Zn1 0.0000 0.0000 0.5000 [1 per cell]  4 Al 2.53
Rh1 0.0000 0.5000 0.8675 [2 per cell]  5 Al 2.52-2.53
Rh2 0.5000 0.5000 0.5000 [1 per cell]  4 Al 2.53

Results
Calculated volume, Å³ per cell: 185.5
Electronic total energy, eV per atom: -5.5132

=====

3.
Entry from Alexandria: a geometry-optimized BMoOs2Pb structure (PBE).

a b c (Å): 4.7701 4.7701 5.3988
angles (deg): 90.00 90.00 90.00
Last column: nearest neighbours and their distance in Å.
Space group P4/mmm (No. 123)
One atom of each set of equivalent atoms:
B1 0.0000 0.0000 0.0000 [1 per cell]  4 Pb 3.37, 8 Os 3.60
Mo1 0.5000 0.5000 0.5000 [1 per cell]  4 Os 2.39
Os1 0.0000 0.5000 0.5000 [2 per cell]  2 Mo 2.39
Pb1 0.5000 0.5000 0.0000 [1 per cell]  2 Mo 2.70

Results
Calculated volume, Å³ per cell: 122.8
Electronic total energy, eV per atom: -6.1458